# 1
DFT (PBE) results for a geometry-optimized Re2RhW2 structure.

Structure (extended XYZ):
```
5
Lattice="4.148 0.000 0.000 0.000 4.148 0.000 2.074 2.074 5.380" Properties=species:S:1:pos:R:3 pbc="T T T"
Re 2.074 2.074 1.242
Re 4.148 4.148 4.138
Rh 0.000 0.000 0.000
W 4.148 2.074 2.690
W 2.074 4.148 2.690
```

Computed properties:
Energy relative to the lowest polymorph listed for this composition = 0.430 eV/atom
Total magnetic moment = 0.000 μB/atom
SG = I4/mmm (139)

***

# 2
DFT (PBE) results for a geometry-optimized LiTlSnIr structure.

Structure (extended XYZ):
```
4
Lattice="4.709 0.000 0.000 2.355 4.078 0.000 2.355 1.359 3.845" Properties=species:S:1:pos:R:3 pbc="T T T"
Tl 2.355 1.359 0.961
Ir 4.709 2.719 1.923
Sn 7.064 4.078 2.884
Li 0.000 0.000 0.000
```

Computed properties:
Electronic total energy = -4.40 eV per atom
Total magnetic moment = 0.000 μB/atom
SG = F-43m (216)

***

# 3
DFT (PBE) results for a geometry-optimized Dy2ZrPb structure.

Structure (extended XYZ):
```
4
Lattice="3.435 0.000 0.000 1.717 2.975 0.000 1.717 0.992 11.669" Properties=species:S:1:pos:R:3 pbc="T T T"
Pb 0.000 0.000 0.000
Zr 3.435 1.983 5.834
Dy 1.717 0.992 8.455
Dy 5.152 2.975 3.214
```

Computed properties:
Energy relative to the lowest polymorph listed for this composition = 0.267 eV/atom
Total magnetic moment = 0.000 μB/atom
SG = R-3m (166)

***

# 4
DFT (PBE) results for a geometry-optimized Sb2PbW structure.

Structure (extended XYZ):
```
4
Lattice="-3.053 -1.386 -1.052 0.647 -2.891 1.933 -3.014 0.445 8.162" Properties=species:S:1:pos:R:3 pbc="T T T"
Pb -3.135 -2.679 6.759
Sb 0.457 -2.721 2.259
Sb -2.290 -1.148 2.290
W -0.989 -1.399 4.716
```

Computed properties:
Total magnetic moment = 0.000 μB/atom
ΔE_f (raw) = 0.523 eV per atom
SG = Pm (6)

***

# 5
DFT (PBE) results for a geometry-optimized K2TiAu2 structure.

Structure (extended XYZ):
```
10
Lattice="7.045 0.000 0.000 0.000 7.045 0.000 0.000 0.000 5.653" Properties=species:S:1:pos:R:3 pbc="T T T"
K 1.209 4.732 2.826
K 4.732 5.836 2.826
K 5.836 2.313 2.826
K 2.313 1.209 2.826
Au 2.526 6.049 0.000
Au 6.049 4.518 0.000
Au 4.518 0.996 0.000
Au 0.996 2.526 0.000
Ti 0.000 0.000 0.000
Ti 3.522 3.522 0.000
```

Computed properties:
Energy relative to the lowest polymorph listed for this composition = 0.000 eV/atom
Total magnetic moment = 0.442 μB/atom
SG = P4/mbm (127)

***

# 6
DFT (PBE) results for a geometry-optimized Pm2Dy2HoEr4 structure.

Structure (extended XYZ):
```
9
Lattice="-3.135 -0.985 1.415 2.124 -7.646 -5.143 3.848 0.236 8.692" Properties=species:S:1:pos:R:3 pbc="T T T"
Pm 0.374 -5.443 -2.964
Pm 2.464 -2.953 7.927
Dy 0.123 -6.157 0.509
Dy 2.714 -2.239 4.454
Ho 0.000 0.000 0.000
Er 1.338 -5.458 3.688
Er 1.499 -2.938 1.275
Er -0.258 -0.729 3.445
Er 3.095 -7.667 1.519
```

Computed properties:
Electronic total energy = -4.62 eV per atom
Total magnetic moment = 0.000 μB/atom
SG = C2/m (12)

***

# 7
DFT (PBE) results for a geometry-optimized TlTeSe2N structure.

Structure (extended XYZ):
```
5
Lattice="-1.325 -0.197 -5.392 -3.300 -4.363 0.970 -3.122 2.512 0.675" Properties=species:S:1:pos:R:3 pbc="T T T"
Tl -3.874 -1.024 -1.873
Te 0.000 0.000 0.000
Se -1.650 -2.182 0.485
Se -0.662 -0.099 -2.696
N -1.561 1.256 0.338
```

Computed properties:
Energy relative to the lowest polymorph listed for this composition = 0.000 eV/atom
Total magnetic moment = 0.170 μB/atom
ΔE_f (raw) = 0.661 eV per atom
SG = P4/mmm (123)

***

# 8
DFT (PBE) results for a geometry-optimized ZrRe2Ag structure.

Structure (extended XYZ):
```
4
Lattice="0.000 3.248 3.248 3.248 0.000 3.248 3.248 3.248 0.000" Properties=species:S:1:pos:R:3 pbc="T T T"
Re 1.624 1.624 1.624
Re 4.872 4.872 4.872
Zr 0.000 0.000 0.000
Ag 3.248 3.248 3.248
```

Computed properties:
Energy relative to the lowest polymorph listed for this composition = 0.538 eV/atom
Total magnetic moment = 0.000 μB/atom
SG = Fm-3m (225)

***

# 9
DFT (PBE) results for a geometry-optimized SbRhAu3 structure.

Structure (extended XYZ):
```
5
Lattice="-0.749 -4.879 0.745 3.968 -1.043 -2.843 2.934 0.166 4.035" Properties=species:S:1:pos:R:3 pbc="T T T"
Sb 3.077 -2.878 0.969
Au 1.984 -0.522 -1.421
Au 1.467 0.083 2.018
Au -0.375 -2.439 0.373
Rh 0.000 0.000 0.000
```

Computed properties:
Energy relative to the lowest polymorph listed for this composition = 0.000 eV/atom
Total magnetic moment = 0.182 μB/atom
ΔE_f (raw) = 0.864 eV per atom
SG = Pm-3m (221)

***

# 10
DFT (PBE) results for a geometry-optimized TlOs2Br structure.

Structure (extended XYZ):
```
4
Lattice="3.210 0.000 0.000 0.000 3.210 0.000 0.000 0.000 6.732" Properties=species:S:1:pos:R:3 pbc="T T T"
Tl 1.605 1.605 1.683
Os 0.000 0.000 6.588
Os 0.000 0.000 3.510
Br 1.605 1.605 5.049
```

Computed properties:
Energy relative to the lowest polymorph listed for this composition = 0.993 eV/atom
Total magnetic moment = 0.000 μB/atom
ΔE_f (raw) = 1.534 eV per atom
SG = P4/mmm (123)

***

# 11
DFT (PBE) results for a geometry-optimized NaSr2TlSn structure.

Structure (extended XYZ):
```
5
Lattice="-1.126 -3.242 4.993 5.193 -1.108 0.451 0.764 4.961 3.393" Properties=species:S:1:pos:R:3 pbc="T T T"
Sr 0.382 2.481 1.697
Sr -0.563 -1.621 2.497
Tl 2.597 -0.554 0.226
Sn 2.416 0.305 4.419
Na 0.000 0.000 0.000
```

Computed properties:
Electronic total energy = -2.00 eV per atom
Total magnetic moment = 0.000 μB/atom
SG = P4/mmm (123)

***

# 12
DFT (PBE) results for a geometry-optimized NaSrGe4 structure.

Structure (extended XYZ):
```
6
Lattice="-1.817 1.760 -3.214 -5.068 -3.622 -1.720 -4.949 3.560 2.145" Properties=species:S:1:pos:R:3 pbc="T T T"
Na -5.917 0.849 -1.395
Sr 0.000 0.000 0.000
Ge -3.023 -0.737 -1.297
Ge -2.985 1.566 -0.058
Ge -8.811 2.435 -1.493
Ge -8.849 0.133 -2.732
```

Computed properties:
Energy relative to the lowest polymorph listed for this composition = 0.035 eV/atom
Total magnetic moment = 0.000 μB/atom
SG = Immm (71)

***

# 13
DFT (PBE) results for a geometry-optimized Zn5In3I12 structure.

Structure (extended XYZ):
```
80
Lattice="15.893 0.000 0.000 -5.298 14.984 0.000 -5.298 -7.492 12.976" Properties=species:S:1:pos:R:3 pbc="T T T"
In 9.271 4.682 1.622
In 9.271 10.301 1.622
In -1.324 6.555 8.110
In 1.324 -0.936 4.866
In 11.920 0.000 3.244
In 1.324 7.492 3.244
In 3.973 0.000 9.732
In -6.622 7.492 9.732
In 3.973 8.428 8.110
In 6.622 0.936 4.866
In -3.973 -2.809 11.354
In -3.973 2.809 11.354
Zn -1.324 3.746 3.244
Zn -2.649 7.492 0.000
Zn 0.000 0.000 0.000
Zn 3.973 2.809 1.622
Zn 5.298 -3.746 6.488
Zn 5.298 7.492 0.000
Zn -3.973 8.428 4.866
Zn 6.622 -4.682 11.354
Zn 6.622 6.555 4.866
Zn 1.324 -3.746 9.732
Zn 3.973 11.238 3.244
Zn 2.649 3.746 6.488
Zn 7.946 0.000 0.000
Zn -2.649 -3.746 6.488
Zn -1.324 0.936 8.110
Zn -1.324 12.174 1.622
Zn -5.298 3.746 6.488
Zn 9.271 -0.936 8.110
Zn 1.324 4.682 11.354
Zn 6.622 3.746 9.732
I 10.441 1.571 0.233
I 0.154 4.733 5.244
I 11.977 3.546 3.881
I 6.565 2.157 1.477
I 1.999 5.386 8.862
I 11.482 7.558 2.374
I -1.382 8.880 5.358
I -3.916 12.826 1.477
I 0.649 9.598 8.862
I 7.060 7.426 2.374
I 8.101 4.329 5.011
I 8.101 13.413 0.233
I -4.648 6.621 6.721
I 3.535 5.403 1.130
I -5.452 10.654 5.011
I 2.803 -2.759 7.732
I -0.649 1.236 2.607
I 3.535 9.515 1.244
I 6.565 11.438 3.881
I -0.886 5.469 1.244
I -3.298 8.728 10.370
I 4.030 6.104 5.358
I 7.297 8.362 6.721
I 6.184 -2.088 11.847
I 1.267 1.388 7.618
I -1.999 -0.871 6.255
I -0.886 9.580 1.130
I -1.267 -3.946 9.095
I 8.596 -1.236 2.607
I 6.184 2.023 11.733
I 1.762 -2.023 11.733
I 2.495 10.250 5.244
I 5.947 6.256 10.370
I 10.749 -3.163 7.965
I 9.946 0.871 6.255
I -2.803 -5.921 12.743
I 1.762 2.088 11.847
I 4.648 -2.106 4.115
I -1.762 0.066 10.603
I -2.803 3.163 7.965
I 9.214 -5.335 11.499
I 6.679 -1.388 7.618
I -1.267 5.335 11.499
I -6.184 -0.066 10.603
I 3.298 2.106 4.115
I -6.679 3.946 9.095
I 5.143 2.759 7.732
I -5.143 5.921 12.743
```

Computed properties:
Total magnetic moment = 0.000 μB/atom
ΔE_f (raw) = -0.425 eV per atom
SG = Ia-3d (230)

***

# 14
DFT (PBE) results for a geometry-optimized CaSc2Cl structure.

Structure (extended XYZ):
```
4
Lattice="6.072 0.006 0.000 2.631 5.473 0.000 -4.352 -2.739 3.230" Properties=species:S:1:pos:R:3 pbc="T T T"
Sc 0.000 0.000 0.000
Sc 1.315 2.736 1.615
Ca 4.352 2.739 0.000
Cl 3.036 0.003 1.615
```

Computed properties:
Energy relative to the lowest polymorph listed for this composition = 0.679 eV/atom
Total magnetic moment = 0.637 μB/atom
ΔE_f (raw) = 0.031 eV per atom
SG = I-4m2 (119)

***

# 15
DFT (PBE) results for a geometry-optimized Li2Pm2Tl3 structure.

Structure (extended XYZ):
```
7
Lattice="4.518 0.000 0.600 0.000 3.341 0.000 0.745 0.000 11.711" Properties=species:S:1:pos:R:3 pbc="T T T"
Li 3.664 1.670 7.038
Li 1.599 1.670 5.272
Pm 3.243 1.670 10.204
Pm 2.019 1.670 2.106
Tl 4.020 0.000 4.351
Tl 0.000 0.000 0.000
Tl 1.242 0.000 7.959
```

Computed properties:
Electronic total energy = -3.18 eV per atom
Total magnetic moment = 0.062 μB/atom
SG = Cmmm (65)

***

# 16
DFT (PBE) results for a geometry-optimized Ca2Cu2B structure.

Structure (extended XYZ):
```
5
Lattice="-3.023 -1.471 -0.107 1.298 -2.769 1.400 -2.621 0.937 8.325" Properties=species:S:1:pos:R:3 pbc="T T T"
Ca -1.195 -1.542 2.099
Ca -3.150 -1.762 7.518
B 0.000 0.000 0.000
Cu -3.253 -1.327 4.432
Cu -1.092 -1.976 5.185
```

Computed properties:
Energy relative to the lowest polymorph listed for this composition = 0.000 eV/atom
Total magnetic moment = 0.000 μB/atom
SG = I4/mmm (139)

***

# 17
DFT (PBE) results for a geometry-optimized ScAgSn2 structure.

Structure (extended XYZ):
```
8
Lattice="7.872 0.000 0.000 0.000 7.872 0.000 3.936 3.936 3.097" Properties=species:S:1:pos:R:3 pbc="T T T"
Sc 3.936 3.936 0.000
Sc 3.936 7.872 1.549
Sn 6.115 1.968 0.774
Sn 1.757 5.904 0.774
Sn 5.904 5.694 2.323
Sn 9.840 10.051 2.323
Ag 0.000 0.000 0.000
Ag 7.872 3.936 1.549
```

Computed properties:
Energy relative to the lowest polymorph listed for this composition = 0.236 eV/atom
Total magnetic moment = 0.000 μB/atom
SG = I-42d (122)

***

# 18
DFT (PBE) results for a geometry-optimized Ca2PrAu2 structure.

Structure (extended XYZ):
```
10
Lattice="-0.468 0.435 5.059 -5.096 -0.953 -0.390 1.929 -10.799 1.107" Properties=species:S:1:pos:R:3 pbc="T T T"
Ca -1.620 0.055 3.700
Ca -2.647 -7.840 1.715
Ca -2.016 -11.372 2.077
Ca -0.989 -3.477 4.062
Pr -0.344 -7.081 4.432
Pr -3.291 -4.236 1.345
Au -0.444 -5.432 1.711
Au -3.856 -2.166 3.685
Au 0.221 -9.150 2.092
Au -3.192 -5.885 4.066
```

Computed properties:
Energy relative to the lowest polymorph listed for this composition = 0.000 eV/atom
Total magnetic moment = 0.000 μB/atom
SG = Pmmn (59)

***

# 19
DFT (PBE) results for a geometry-optimized MnHg3S4 structure.

Structure (extended XYZ):
```
16
Lattice="-4.146 2.895 -4.557 3.623 -3.200 -5.330 -5.091 -6.550 0.472" Properties=species:S:1:pos:R:3 pbc="T T T"
S 2.600 -2.388 -5.106
S -2.082 1.339 -3.876
S -0.520 -2.252 -2.167
S -1.461 -2.087 -6.290
S -0.167 -5.492 -4.874
S -4.592 -1.943 -3.363
S -3.877 -5.195 -6.066
S -3.196 -5.695 -1.919
Mn 0.601 -0.533 -0.916
Mn -1.621 -4.478 -6.484
Hg 0.952 -1.226 -6.751
Hg 1.152 -3.771 -3.449
Hg -2.152 -1.254 -3.928
Hg -1.965 -3.790 -0.641
Hg -4.689 -4.518 -3.693
Hg -1.402 -7.057 -3.213
```

Computed properties:
Energy relative to the lowest polymorph listed for this composition = 0.000 eV/atom
Total magnetic moment = 0.623 μB/atom
ΔE_f (raw) = -0.241 eV per atom
SG = Pmn2_1 (31)

***

# 20
DFT (PBE) results for a geometry-optimized SbRhBr2 structure.

Structure (extended XYZ):
```
4
Lattice="3.362 0.000 0.000 0.000 5.736 0.000 0.000 0.000 4.645" Properties=species:S:1:pos:R:3 pbc="T T T"
Sb 0.000 2.868 2.322
Rh 1.681 0.000 2.322
Br 0.000 0.000 0.000
Br 1.681 2.868 0.000
```

Computed properties:
Energy relative to the lowest polymorph listed for this composition = 0.836 eV/atom
Total magnetic moment = 0.000 μB/atom
ΔE_f (raw) = 0.395 eV per atom
SG = Pmmm (47)